Sc2CdC2 | Alexandria | PBE | relaxed; calculated formation energy = 0.19 eV/atom; symmetry = P4/mbm, No. 127; crystal system = tetragonal; relative energy among the computed polymorphs = 0.000 eV/atom
1.0
-5.969 -2.434 -1.370
2.758 -4.622 -3.803
0.211 -1.911 2.476
Sc C Cd
4 4 2
direct
0.648 0.852 0.500 Sc
0.148 0.648 0.500 Sc
0.352 0.148 0.500 Sc
0.852 0.352 0.500 Sc
0.668 0.168 0.000 C
0.832 0.668 0.000 C
0.168 0.332 0.000 C
0.332 0.832 0.000 C
0.500 0.500 0.000 Cd
0.000 0.000 0.000 Cd